(1)
4
Lattice="-2.039 -0.284 3.935 -3.077 -2.330 2.196 2.246 -2.992 2.180" Properties=species:S:1:pos:R:3 comment="Cr2TcP, optimized geometry, DFT PBE-GGA" spacegroup="No. 8" delta_e_f_mev_per_atom=-121.3 crystal_system=monoclinic pbc="T T T"
Cr -4.946 -2.816 6.267
Cr -0.756 -1.222 1.890
P -1.337 -2.947 4.266
Tc -2.381 -4.038 6.173

=====

(2)
3
Lattice="2.887 0.000 0.000 -1.443 2.500 0.000 0.000 0.000 7.174" Properties=species:S:1:pos:R:3 comment="TlOs2, optimized geometry, DFT PBE-GGA" polymorph_energy_mev_per_atom=206 spacegroup="No. 164" delta_e_f_mev_per_atom=777.1 crystal_system=trigonal pbc="T T T"
Tl 0.000 0.000 0.000
Os 1.443 0.833 4.590
Os 0.000 1.667 2.584

=====

(3)
4
Lattice="-1.053 -4.640 -2.267 0.622 -3.615 3.784 -2.935 4.212 -1.191" Properties=species:S:1:pos:R:3 comment="Sc2ReBr, optimized geometry, DFT PBE-GGA" polymorph_energy_mev_per_atom=715 formation_energy_uncorrected_ev_per_atom=0.180 spacegroup="No. 71" crystal_system=orthorhombic pbc="T T T"
Re -1.264 -1.765 1.676
Br -2.102 -2.277 -1.349
Sc -0.002 -0.034 0.006
Sc -0.214 -4.093 0.753

=====

(4)
29
Lattice="2.422 3.627 10.438 10.757 0.478 3.469 5.026 10.026 1.481" Properties=species:S:1:pos:R:3 comment="Pm7Sm16Y6, optimized geometry, DFT PBE-GGA" spacegroup="No. 225" delta_e_f_mev_per_atom=222.7 crystal_system=cubic pbc="T T T"
Sm 14.719 10.551 8.242
Sm 3.485 3.580 7.146
Sm 6.332 4.915 5.352
Sm 4.789 6.782 2.663
Sm 10.398 7.008 3.682
Sm 7.657 2.004 3.658
Sm 11.872 9.215 10.035
Sm 10.548 12.127 11.730
Sm 12.880 5.206 7.464
Sm 8.813 3.113 9.134
Sm 13.416 7.348 12.725
Sm 9.391 11.017 6.254
Sm 15.931 12.366 13.466
Sm 2.273 1.765 1.922
Sm 7.806 7.122 11.706
Sm 5.325 8.925 7.924
Pm 1.211 1.813 5.219
Pm 0.000 0.000 0.000
Pm 7.891 5.252 2.475
Pm 2.513 5.013 0.740
Pm 6.589 2.052 6.953
Pm 5.379 0.239 1.734
Pm 3.724 6.826 5.960
Y 12.163 8.640 6.437
Y 8.344 10.083 9.629
Y 7.235 8.421 4.848
Y 10.970 5.709 10.540
Y 6.042 5.490 8.951
Y 9.860 4.047 5.758